# CuSeBr2

CuSeBr2 after structural relaxation (GGA-PBE, the Alexandria database).

## Properties
- Formation energy without anion corrections: -11 meV/atom
- Density of states at the Fermi level: 0.557 states/eV per atom
- M_tot: 0.00 μB per cell

Structure (CIF):
```
data_CuSeBr2
_chemical_formula_sum 'Cu2 Se2 Br4'
_space_group_name_H-M_alt 'C m m 2'
_space_group_IT_number 35
_cell_length_a 3.510
_cell_length_b 7.475
_cell_length_c 8.843
_cell_angle_alpha 90.00
_cell_angle_beta 90.00
_cell_angle_gamma 90.00
loop_
_space_group_symop_operation_xyz
'x,y,z'
'-x,-y,z'
'-x,y,z'
'x,-y,z'
'x+1/2,y+1/2,z'
'-x+1/2,-y+1/2,z'
'-x+1/2,y+1/2,z'
'x+1/2,-y+1/2,z'
loop_
_atom_site_label
_atom_site_type_symbol
_atom_site_fract_x
_atom_site_fract_y
_atom_site_fract_z
Cu1 Cu 0.000 0.000 0.000
Se1 Se 0.000 0.500 0.179
Br1 Br 0.000 0.000 0.423
Br2 Br 0.000 0.500 0.821
```

---

# Er2AlRe3

Er2AlRe3 after structural relaxation (GGA-PBE, the Alexandria database).

## Properties
- Density of states at the Fermi level: 0.651 states/eV per atom
- ΔH_f (0 K): -0.34 eV/atom
- M_tot: 0.00 μB per cell

Structure (CIF):
```
data_Er2AlRe3
_chemical_formula_sum 'Er6 Al3 Re9'
_space_group_name_H-M_alt 'R -3 m'
_space_group_IT_number 166
_space_group_name_Hall '-R 3 2"'
_cell_length_a 5.3377
_cell_length_b 5.3377
_cell_length_c 13.4649
_cell_angle_alpha 90.00
_cell_angle_beta 90.00
_cell_angle_gamma 120.00
loop_
_atom_site_label
_atom_site_type_symbol
_atom_site_fract_x
_atom_site_fract_y
_atom_site_fract_z
Er1 Er 0.0000 0.0000 0.1215
Al1 Al 0.0000 0.0000 0.5000
Re1 Re 0.0000 0.5000 0.0000
```

---

# Mg12Cd3Ga

Mg12Cd3Ga after structural relaxation (GGA-PBE, the Alexandria database).

## Properties
- Density of states at the Fermi level: 0.252 states/eV per atom
- ΔH_f (0 K): -0.07 eV/atom
- M_tot: 0.00 μB per cell

Structure (CIF):
```
data_Mg12Cd3Ga
_chemical_formula_sum 'Mg12 Cd3 Ga1'
_space_group_name_H-M_alt 'P 4/m m m'
_space_group_IT_number 123
_space_group_name_Hall '-P 4 2'
_cell_length_a 4.499
_cell_length_b 4.499
_cell_length_c 17.109
_cell_angle_alpha 90.00
_cell_angle_beta 90.00
_cell_angle_gamma 90.00
loop_
_atom_site_label
_atom_site_type_symbol
_atom_site_fract_x
_atom_site_fract_y
_atom_site_fract_z
Mg1 Mg 0.000 0.000 0.000
Mg2 Mg 0.000 0.000 0.248
Mg3 Mg 0.000 0.000 0.500
Mg4 Mg 0.000 0.500 0.120
Mg5 Mg 0.000 0.500 0.375
Cd1 Cd 0.500 0.500 0.248
Cd2 Cd 0.500 0.500 0.500
Ga1 Ga 0.500 0.500 0.000
```

---

# BaAsIr2W

BaAsIr2W after structural relaxation (GGA-PBE, the Alexandria database).

## Properties
- Density of states at the Fermi level: 1.189 states/eV per atom
- ΔH_f (0 K): 1.25 eV/atom
- M_tot: 0.00 μB per cell

Structure (CIF):
```
data_BaAsIr2W
_chemical_formula_sum 'Ba1 As1 Ir2 W1'
_space_group_name_H-M_alt 'P 4/m m m'
_space_group_IT_number 123
_space_group_name_Hall '-P 4 2'
_cell_length_a 4.767
_cell_length_b 4.767
_cell_length_c 5.970
_cell_angle_alpha 90.00
_cell_angle_beta 90.00
_cell_angle_gamma 90.00
loop_
_atom_site_label
_atom_site_type_symbol
_atom_site_fract_x
_atom_site_fract_y
_atom_site_fract_z
Ba1 Ba 0.000 0.000 0.000
As1 As 0.500 0.500 0.000
Ir1 Ir 0.000 0.500 0.500
W1 W 0.000 0.000 0.500
```

---

# Tb6Ce2Ho3Tm

Tb6Ce2Ho3Tm after structural relaxation (GGA-PBE, the Alexandria database).

## Properties
- Density of states at the Fermi level: 1.834 states/eV per atom
- ΔH_f (0 K): 0.05 eV/atom
- M_tot: 3.82 μB per cell

Structure (CIF):
```
data_Tb6Ce2Ho3Tm
_chemical_formula_sum 'Tb12 Ce4 Ho6 Tm2'
_space_group_name_H-M_alt 'C 1 2/m 1'
_space_group_IT_number 12
_cell_length_a 6.123
_cell_length_b 10.607
_cell_length_c 11.735
_cell_angle_alpha 90.00
_cell_angle_beta 100.02
_cell_angle_gamma 90.00
loop_
_space_group_symop_operation_xyz
'x,y,z'
'-x,-y,-z'
'-x,y,-z'
'x,-y,z'
'x+1/2,y+1/2,z'
'-x+1/2,-y+1/2,-z'
'-x+1/2,y+1/2,-z'
'x+1/2,-y+1/2,z'
loop_
_atom_site_label
_atom_site_type_symbol
_atom_site_fract_x
_atom_site_fract_y
_atom_site_fract_z
Tb1 Tb 0.249 0.000 0.249
Tb2 Tb 0.249 0.167 0.751
Ce1 Ce 0.000 0.166 0.000
Ho1 Ho 0.000 0.000 0.500
Ho2 Ho 0.000 0.334 0.500
Tm1 Tm 0.000 0.500 0.000
```

---

# UZnMo

UZnMo after structural relaxation (GGA-PBE, the Alexandria database).

## Properties
- Density of states at the Fermi level: 1.175 states/eV per atom
- ΔH_f (0 K): 0.10 eV/atom
- M_tot: 0.00 μB per cell

Structure (CIF):
```
data_UZnMo
_chemical_formula_sum 'U2 Zn2 Mo2'
_space_group_name_H-M_alt 'P -1'
_space_group_IT_number 2
_cell_length_a 3.325
_cell_length_b 3.388
_cell_length_c 9.176
_cell_angle_alpha 89.85
_cell_angle_beta 89.98
_cell_angle_gamma 89.88
loop_
_space_group_symop_operation_xyz
'x,y,z'
'-x,-y,-z'
loop_
_atom_site_label
_atom_site_type_symbol
_atom_site_fract_x
_atom_site_fract_y
_atom_site_fract_z
U1 U 0.219 0.250 0.089
Zn1 Zn 0.244 0.249 0.423
Mo1 Mo 0.260 0.251 0.745
```

---

# ScRuRh3

ScRuRh3 after structural relaxation (GGA-PBE, the Alexandria database).

## Properties
- Density of states at the Fermi level: 1.251 states/eV per atom
- ΔH_f (0 K): 1.18 eV/atom
- M_tot: 4.22 μB per cell

Structure (CIF):
```
data_ScRuRh3
_chemical_formula_sum 'Sc1 Ru1 Rh3'
_space_group_name_H-M_alt 'P m -3 m'
_space_group_IT_number 221
_space_group_name_Hall '-P 4 2 3'
_cell_length_a 4.571
_cell_length_b 4.571
_cell_length_c 4.571
_cell_angle_alpha 90.00
_cell_angle_beta 90.00
_cell_angle_gamma 90.00
loop_
_atom_site_label
_atom_site_type_symbol
_atom_site_fract_x
_atom_site_fract_y
_atom_site_fract_z
Sc1 Sc 0.000 0.000 0.000
Ru1 Ru 0.500 0.500 0.500
Rh1 Rh 0.000 0.000 0.500
```

---

# Cs3Rb4

Cs3Rb4 after structural relaxation (GGA-PBE, the Alexandria database).

## Properties
- Density of states at the Fermi level: 1.018 states/eV per atom
- ΔH_f (0 K): 0.00 eV/atom
- M_tot: 0.00 μB per cell

Structure (CIF):
```
data_Cs3Rb4
_chemical_formula_sum 'Cs6 Rb8'
_space_group_name_H-M_alt 'P 63/m'
_space_group_IT_number 176
_space_group_name_Hall '-P 6c'
_cell_length_a 13.7906
_cell_length_b 13.7906
_cell_length_c 8.4649
_cell_angle_alpha 90.00
_cell_angle_beta 90.00
_cell_angle_gamma 120.00
loop_
_atom_site_label
_atom_site_type_symbol
_atom_site_fract_x
_atom_site_fract_y
_atom_site_fract_z
Cs1 Cs 0.0564 0.8065 0.2500
Rb1 Rb 0.0997 0.6095 0.7500
Rb2 Rb 0.3333 0.6667 0.2500
```